Entry 1:
Y2Tm13: relaxed, PBE-GGA.

a b c (Å): 8.7885 8.7885 23.4666
angles (deg): 90.00 90.00 120.00
Space group R-3m (No. 166, hexagonal axes)
Unique sites:
1 Y 0.0000 0.0000 0.2410 [6 per cell]
2 Tm 0.0000 0.0000 0.5000 [3 per cell]
3 Tm 0.0896 0.5448 0.3025 [18 per cell]
4 Tm 0.0941 0.5470 0.5598 [18 per cell]

Computed properties:
- total energy (eV/atom) = -4.13
- crystal system = trigonal
- DOS at the Fermi energy (states/eV per cell) = 58.1
- energy of formation from the pure elements (eV per atom) = 0.6077

***

Entry 2:
YTm3: relaxed, PBE-GGA.

a b c (Å): 3.5857 5.5539 6.2092
angles (deg): 90.00 90.00 90.00
Space group Pmm2 (No. 25)
Unique sites:
1 Y 0.0000 0.0000 0.0000 [1 per cell]
2 Tm 0.0000 0.5000 0.6637 [1 per cell]
3 Tm 0.5000 0.0000 0.4988 [1 per cell]
4 Tm 0.5000 0.5000 0.1665 [1 per cell]

Computed properties:
- total energy (eV/atom) = -4.97
- crystal system = orthorhombic
- DOS at the Fermi energy (states/eV per cell) = 6.6
- energy of formation from the pure elements (eV per atom) = -0.0019

***

Entry 3:
YTmZn2: relaxed, PBE-GGA.

a b c (Å): 5.0088 5.0088 3.5711
angles (deg): 90.00 90.00 90.00
Space group P4/mmm (No. 123)
Unique sites:
1 Y 0.0000 0.0000 0.0000 [1 per cell]
2 Tm 0.5000 0.5000 0.0000 [1 per cell]
3 Zn 0.0000 0.5000 0.5000 [2 per cell]

Computed properties:
- total energy (eV/atom) = -3.73
- crystal system = tetragonal
- DOS at the Fermi energy (states/eV per cell) = 4.0
- energy of formation from the pure elements (eV per atom) = -0.3554